# 1
RbW: optimized geometry, PBE.

Output
energy above the lowest structure with this stoichiometry: 1.309 eV/atom
symmetry: Fm-3m, No. 225
theoretical density: 4.25 g/cm³

a = 5.301 Å, b = 5.301 Å, c = 5.301 Å
α = 60.00°, β = 60.00°, γ = 60.00°
Last column: magnetic moment on the atom in μB.
Sites, in units of the cell vectors:
Rb: 0.000 0.000 0.000  0.04
W: 0.500 0.500 0.500  3.46

---

# 2
RbW: optimized geometry, PBE.

Output
energy above the lowest structure with this stoichiometry: 0.000 eV/atom
symmetry: P-6m2, No. 187
theoretical density: 9.29 g/cm³

a = 2.929 Å, b = 2.931 Å, c = 6.473 Å
α = 90.00°, β = 90.00°, γ = 119.98°
Sites, in units of the cell vectors:
Rb: 0.667 0.333 0.750
W: 0.333 0.667 0.250

---

# 3
RbW8: optimized geometry, PBE.

Output
symmetry: Fddd, No. 70
final energy: -10.383 eV/atom
theoretical density: 14.18 g/cm³

a = 13.616 Å, b = 13.248 Å, c = 5.479 Å
α = 82.03°, β = 74.49°, γ = 23.48°
Sites, in units of the cell vectors:
Rb: 0.000 0.000 0.000
Rb: 0.250 0.250 0.250
W: 0.722 0.687 0.035
W: 0.528 0.563 0.215
W: 0.884 0.363 0.362
W: 0.391 0.362 0.363
W: 0.888 0.859 0.366
W: 0.363 0.884 0.391
W: 0.215 0.694 0.528
W: 0.687 0.722 0.556
W: 0.694 0.215 0.563
W: 0.556 0.035 0.687
W: 0.563 0.528 0.694
W: 0.035 0.556 0.722
W: 0.887 0.366 0.859
W: 0.362 0.391 0.884
W: 0.859 0.888 0.887
W: 0.366 0.887 0.888

---

# 4
RbYZn: optimized geometry, PBE.

Output
energy above the lowest structure with this stoichiometry: 0.490 eV/atom
symmetry: F-43m, No. 216
theoretical density: 3.79 g/cm³

a = 5.298 Å, b = 5.298 Å, c = 5.298 Å
α = 60.00°, β = 60.00°, γ = 60.00°
Sites, in units of the cell vectors:
Rb: 0.000 0.000 0.000
Y: 0.250 0.250 0.250
Zn: 0.750 0.750 0.750

---

# 5
RbYZn: optimized geometry, PBE.

Output
energy above the lowest structure with this stoichiometry: 0.000 eV/atom
symmetry: F-43m, No. 216
theoretical density: 3.59 g/cm³

a = 5.395 Å, b = 5.395 Å, c = 5.395 Å
α = 60.00°, β = 60.00°, γ = 60.00°
Sites, in units of the cell vectors:
Rb: 0.250 0.250 0.250
Y: 0.750 0.750 0.750
Zn: 0.000 0.000 0.000

---

# 6
RbYZr: optimized geometry, PBE.

Output
energy above the lowest structure with this stoichiometry: 0.305 eV/atom
symmetry: F-43m, No. 216
theoretical density: 4.15 g/cm³

a = 5.317 Å, b = 5.317 Å, c = 5.317 Å
α = 60.00°, β = 60.00°, γ = 60.00°
Sites, in units of the cell vectors:
Rb: 0.000 0.000 0.000
Y: 0.250 0.250 0.250
Zr: 0.750 0.750 0.750

---

# 7
RbYZr: optimized geometry, PBE.

Output
energy above the lowest structure with this stoichiometry: 0.000 eV/atom
symmetry: F-43m, No. 216
theoretical density: 3.26 g/cm³

a = 5.759 Å, b = 5.759 Å, c = 5.759 Å
α = 60.00°, β = 60.00°, γ = 60.00°
Sites, in units of the cell vectors:
Rb: 0.250 0.250 0.250
Y: 0.750 0.750 0.750
Zr: 0.000 0.000 0.000

---

# 8
RbZn2: optimized geometry, PBE.

Output
symmetry: Cmcm, No. 63
final energy: -1.054 eV/atom
theoretical density: 3.94 g/cm³

a = 19.161 Å, b = 4.149 Å, c = 4.586 Å
α = 90.00°, β = 90.00°, γ = 90.00°
Sites, in units of the cell vectors:
Rb: 0.311 0.000 0.000
Rb: 0.811 0.500 0.000
Rb: 0.133 0.000 0.500
Rb: 0.633 0.500 0.500
Zn: 0.544 0.000 0.000
Zn: 0.965 0.000 0.000
Zn: 0.044 0.500 0.000
Zn: 0.465 0.500 0.000
Zn: 0.479 0.000 0.500
Zn: 0.900 0.000 0.500
Zn: 0.400 0.500 0.500
Zn: 0.979 0.500 0.500

---

# 9
RbZn2: optimized geometry, PBE.

Output
symmetry: Fd-3m, No. 227
final energy: -0.983 eV/atom
theoretical density: 4.53 g/cm³

a = 6.076 Å, b = 6.076 Å, c = 6.076 Å
α = 60.00°, β = 60.00°, γ = 60.00°
Sites, in units of the cell vectors:
Rb: 0.000 0.000 0.000
Rb: 0.250 0.250 0.250
Zn: 0.625 0.625 0.125
Zn: 0.625 0.125 0.625
Zn: 0.125 0.625 0.625
Zn: 0.625 0.625 0.625

---

# 10
RbZn2: optimized geometry, PBE.

Output
symmetry: P-62m, No. 189
final energy: -0.969 eV/atom
theoretical density: 3.91 g/cm³

a = 6.765 Å, b = 6.765 Å, c = 4.637 Å
α = 90.00°, β = 90.00°, γ = 59.99°
Sites, in units of the cell vectors:
Rb: 0.000 0.000 0.000
Rb: 0.333 0.333 0.000
Zn: 0.667 0.667 0.000
Zn: 0.887 0.447 0.500
Zn: 0.447 0.667 0.500
Zn: 0.667 0.887 0.500

---

# 11
RbZn2: optimized geometry, PBE.

Output
symmetry: Cmcm, No. 63
final energy: -1.064 eV/atom
theoretical density: 4.64 g/cm³

a = 5.369 Å, b = 12.598 Å, c = 4.581 Å
α = 90.00°, β = 90.00°, γ = 90.00°
Sites, in units of the cell vectors:
Rb: 0.928 0.000 0.000
Rb: 0.428 0.500 0.000
Rb: 0.405 0.000 0.500
Rb: 0.905 0.500 0.500
Zn: 0.538 0.229 0.000
Zn: 0.038 0.271 0.000
Zn: 0.038 0.729 0.000
Zn: 0.538 0.771 0.000
Zn: 0.796 0.229 0.500
Zn: 0.296 0.271 0.500
Zn: 0.296 0.729 0.500
Zn: 0.796 0.771 0.500

---

# 12
RbZn2: optimized geometry, PBE.

Output
symmetry: Pm, No. 6
final energy: -1.060 eV/atom
theoretical density: 3.83 g/cm³

a = 17.853 Å, b = 10.267 Å, c = 4.502 Å
α = 90.00°, β = 90.00°, γ = 65.50°
Sites, in units of the cell vectors:
Rb: 0.752 0.252 0.000
Rb: 0.418 0.471 0.000
Rb: 0.783 0.573 0.000
Rb: 0.027 0.921 0.000
Rb: 0.442 0.111 0.500
Rb: 0.167 0.439 0.500
Rb: 0.411 0.790 0.500
Rb: 0.778 0.890 0.500
Zn: 0.290 0.078 0.000
Zn: 0.600 0.114 0.000
Zn: 0.135 0.154 0.000
Zn: 0.982 0.332 0.000
Zn: 0.970 0.606 0.000
Zn: 0.582 0.625 0.000
Zn: 0.242 0.858 0.000
Zn: 0.597 0.869 0.000
Zn: 0.212 0.028 0.500
Zn: 0.059 0.206 0.500
Zn: 0.595 0.246 0.500
Zn: 0.904 0.283 0.500
Zn: 0.597 0.493 0.500
Zn: 0.952 0.502 0.500
Zn: 0.612 0.736 0.500
Zn: 0.224 0.755 0.500

---

# 13
RbZn2: optimized geometry, PBE.

Output
symmetry: Pmmn, No. 59
final energy: -0.950 eV/atom
theoretical density: 4.14 g/cm³

a = 6.608 Å, b = 11.606 Å, c = 4.529 Å
α = 90.00°, β = 90.00°, γ = 90.00°
Sites, in units of the cell vectors:
Rb: 0.006 0.689 0.000
Rb: 0.006 0.978 0.000
Rb: 0.827 0.189 0.500
Rb: 0.827 0.478 0.500
Zn: 0.408 0.153 0.000
Zn: 0.175 0.333 0.000
Zn: 0.408 0.513 0.000
Zn: 0.490 0.833 0.000
Zn: 0.425 0.013 0.500
Zn: 0.343 0.333 0.500
Zn: 0.425 0.653 0.500
Zn: 0.658 0.833 0.500

---

# 14
Rb2Zn: optimized geometry, PBE.

Output
energy above the lowest structure with this stoichiometry: 0.106 eV/atom
symmetry: Fd-3m, No. 227
theoretical density: 0.82 g/cm³

a = 11.071 Å, b = 11.071 Å, c = 11.071 Å
α = 60.00°, β = 60.00°, γ = 60.00°
Sites, in units of the cell vectors:
Rb: 0.875 0.375 0.375
Rb: 0.375 0.875 0.375
Rb: 0.375 0.375 0.375
Rb: 0.375 0.375 0.875
Zn: 0.250 0.250 0.250
Zn: 0.500 0.500 0.500